DFT (PBE) results for a relaxed Tb6TlRh2 crystal.

Computed properties:
Energy relative to the elements ... -538 meV/atom
DOS(E_F) ... 0.854 states/eV/atom
Magnetic moment ... 0.00 μB per atom

abc: 9.4256 9.7501 10.4150
angles: 90.00 90.00 90.00
Last column: nearest neighbours and their distance in Å.
Space group Immm (No. 71)
Symmetry-distinct sites (fractional):
1 Tb 0.0000 0.2034 0.2368 [8 per cell]  1 Rh 2.79
2 Tb 0.1926 0.5000 0.1712 [8 per cell]  3 Rh 2.73-3.00
3 Tb 0.2110 0.3184 0.5000 [8 per cell]  3 Rh 3.00-3.12, 1 Tl 3.25
4 Tl 0.0000 0.0000 0.0000 [2 per cell]  8 Tb 3.16-3.25, 2 Rh 3.28
5 Tl 0.0000 0.0000 0.5000 [2 per cell]  12 Tb 3.38-3.69
6 Rh 0.0000 0.3368 0.0000 [4 per cell]  8 Tb 2.79-3.12
7 Rh 0.0000 0.5000 0.3676 [4 per cell]  6 Tb 2.73-3.00, 1 Rh 2.76